Material: Ac15Pm4Dy
Method: DFT, PBE
State: optimized geometry

Calculated values
Size of the total moment = 0.00 μB/f.u.
Volume = 42.032 Å³/atom
Calculated total energy = -4.233 eV per atom

Geometry as CIF:
```
data_Ac15Pm4Dy
_cell_length_a 5.5284
_cell_length_b 5.5284
_cell_length_c 27.5047
_cell_angle_alpha 90.00
_cell_angle_beta 90.00
_cell_angle_gamma 90.00
_space_group_name_H-M_alt 'P 4/m m m'
_space_group_IT_number 123
_space_group_name_Hall '-P 4 2'
loop_
_atom_site_label
_atom_site_type_symbol
_atom_site_fract_x
_atom_site_fract_y
_atom_site_fract_z
Ac1 Ac 0.0000 0.0000 0.0000
Ac2 Ac 0.0000 0.0000 0.1991
Ac3 Ac 0.0000 0.0000 0.3997
Ac4 Ac 0.0000 0.5000 0.0990
Ac5 Ac 0.0000 0.5000 0.2994
Ac6 Ac 0.0000 0.5000 0.5000
Pm1 Pm 0.5000 0.5000 0.1991
Pm2 Pm 0.5000 0.5000 0.3998
Dy1 Dy 0.5000 0.5000 0.0000
```